The following is a DFT calculation (SCAN) of a PBEsol-optimized structure of LaIr2Ru.

Structure (POSCAR):
```
LaIr2Ru
1.0
2.797 0.000 0.000
0.000 3.688 0.000
0.000 0.000 6.812
La Ir Ru
1 2 1
Direct
0.000 0.000 0.000 La
0.500 0.500 0.308 Ir
0.500 0.500 0.692 Ir
0.000 0.000 0.500 Ru
```

Values from the calculation:
Excess energy over the best structure of this formula in the dataset: 0.00 eV per formula unit
Raw total energy: -220.26 eV for the cell shown
E_form: -0.034 eV per atom
Total moment: 0.00 μB/atom